## K2HoHfSe4 (PBE)

Data for a geometry-optimized K2HoHfSe4 structure.

Lattice parameters (Å, degrees): 7.018 4.022 8.053 90.00 106.65 90.00
Space group P2/m (No. 10)
Unique sites:
1 K 0.000 0.000 0.000 (multiplicity 1)
2 K 0.500 0.500 0.000 (multiplicity 1)
3 Ho 0.000 0.500 0.500 (multiplicity 1)
4 Hf 0.500 0.000 0.500 (multiplicity 1)
5 Se 0.248 0.000 0.705 (multiplicity 2)
6 Se 0.279 0.500 0.300 (multiplicity 2)

Calculated values
- total energy (eV per cell) = -42.632

***

## NaVCd (PBE)

Data for a geometry-optimized NaVCd structure.

Lattice parameters (Å, degrees): 2.934 5.309 8.442 77.24 85.17 85.06
Space group P1 (No. 1)
Unique sites:
1 Na 0.000 0.000 0.000 (multiplicity 1)
2 Na 0.307 0.885 0.374 (multiplicity 1)
3 V 0.633 0.084 0.662 (multiplicity 1)
4 V 0.905 0.351 0.507 (multiplicity 1)
5 Cd 0.255 0.566 0.765 (multiplicity 1)
6 Cd 0.497 0.443 0.178 (multiplicity 1)

Calculated values
- ΔE to the lowest computed polymorph (meV/atom) = 212

***

## Tb8Zn2Tc (PBE)

Data for a geometry-optimized Tb8Zn2Tc structure.

Lattice parameters (Å, degrees): 4.980 8.341 13.992 90.00 90.00 90.00
Space group Immm (No. 71)
Unique sites:
1 Tb 0.000 0.000 0.123 (multiplicity 4)
2 Tb 0.000 0.227 0.346 (multiplicity 8)
3 Tb 0.000 0.332 0.000 (multiplicity 4)
4 Zn 0.000 0.500 0.196 (multiplicity 4)
5 Tc 0.000 0.500 0.500 (multiplicity 2)

Calculated values
- ΔE to the lowest computed polymorph (meV/atom) = 107

***

## LuPaMnRu (PBE)

Data for a geometry-optimized LuPaMnRu structure.

Lattice parameters (Å, degrees): 6.707 6.707 6.707 90.00 90.00 90.00
Space group F-43m (No. 216)
Unique sites:
1 Lu 0.000 0.000 0.000 (multiplicity 4)
2 Pa 0.000 0.000 0.500 (multiplicity 4)
3 Mn 0.250 0.250 0.750 (multiplicity 4)
4 Ru 0.250 0.250 0.250 (multiplicity 4)

Calculated values
- total energy (eV per cell) = -132.540

***

## PaTeSe2N (PBE)

Data for a geometry-optimized PaTeSe2N structure.

Lattice parameters (Å, degrees): 3.826 3.826 20.052 90.00 90.00 90.00
Space group P4/nmm (No. 129, origin choice 2)
Unique sites:
1 Pa 0.250 0.250 0.062 (multiplicity 2)
2 Te 0.250 0.250 0.638 (multiplicity 2)
3 Se 0.250 0.250 0.403 (multiplicity 2)
4 Se 0.250 0.250 0.865 (multiplicity 2)
5 N 0.250 0.750 0.000 (multiplicity 2)

Calculated values
- total energy (eV per cell) = -65.818

***

## Cs2CoTcBr6 (PBE)

Data for a geometry-optimized Cs2CoTcBr6 structure.

Lattice parameters (Å, degrees): 7.564 7.564 10.693 90.00 90.00 90.00
Space group I4/mmm (No. 139)
Unique sites:
1 Cs 0.000 0.500 0.250 (multiplicity 4)
2 Co 0.000 0.000 0.000 (multiplicity 2)
3 Tc 0.000 0.000 0.500 (multiplicity 2)
4 Br 0.000 0.000 0.248 (multiplicity 4)
5 Br 0.249 0.249 0.000 (multiplicity 8)

Calculated values
- total energy (eV per cell) = -73.410

***

## LaTb2DyTl4 (PBE)

Data for a geometry-optimized LaTb2DyTl4 structure.

Lattice parameters (Å, degrees): 5.4429 5.4429 26.7982 90.00 90.00 120.00
Space group R-3m (No. 166, hexagonal axes)
Unique sites:
1 La 0.0000 0.0000 0.0000 (multiplicity 3)
2 Tb 0.0000 0.0000 0.2492 (multiplicity 6)
3 Dy 0.0000 0.0000 0.5000 (multiplicity 3)
4 Tl 0.0000 0.0000 0.1272 (multiplicity 6)
5 Tl 0.0000 0.0000 0.3775 (multiplicity 6)

Calculated values
- total energy (eV per cell) = -93.407

***

## Pr4CoI2Cl (PBE)

Data for a geometry-optimized Pr4CoI2Cl structure.

Lattice parameters (Å, degrees): 7.514 4.115 8.292 90.00 107.03 90.00
Space group P2/m (No. 10)
Unique sites:
1 Pr 0.200 0.000 0.189 (multiplicity 2)
2 Pr 0.248 0.500 0.808 (multiplicity 2)
3 Co 0.000 0.500 0.000 (multiplicity 1)
4 I 0.000 0.000 0.500 (multiplicity 1)
5 I 0.500 0.500 0.500 (multiplicity 1)
6 Cl 0.500 0.000 0.000 (multiplicity 1)

Calculated values
- total energy (eV per cell) = -38.132

***

Listing magnetization for the structures above in their given order: 0.00 0.00 0.00 1.32 0.00 12.00 0.00 0.00 Bohr magnetons per cell.